HfCo2CuH | PBE-GGA | relaxed

a b c (Å): 3.759 3.759 3.892
angles (deg): 90.00 90.00 90.00
Positions (direct):
Hf  0.000  0.000  0.000
Co  0.000  0.500  0.500
Co  0.500  0.000  0.500
Cu  0.500  0.500  0.000
H  0.000  0.000  0.500

## Properties
- space group = P4/mmm
- DFT total energy (eV/f.u.) = -32.34
- spin magnetization (μB per formula unit) = 0.00